The following is a DFT calculation (PBE) of a relaxed MgHN3 crystal.

a = 4.2350 Å, b = 4.2350 Å, c = 4.2350 Å
α = 90.00°, β = 90.00°, γ = 90.00°
Fractional coordinates of all 5 atoms:
Mg 0.0000 0.0000 0.0000
H 0.5000 0.5000 0.5000
N 0.0000 0.0000 0.5000
N 0.0000 0.5000 0.0000
N 0.5000 0.0000 0.0000

- N(E_F) (states/eV per atom) = 0.26
- DFT total energy (eV/atom) = -3.48
- volume (Å³/cell) = 75.96